Entry 1:
# GaCo2NiAs

Crystalline GaCo2NiAs at its relaxed geometry (PBEsol, Alexandria).

Symmetry: No. 123
Formation enthalpy at 0 K, eV/atom: 0.81
Calculated volume, A^3/atom: 16.1

abc: 4.176 4.391 4.391
angles: 90.00 90.00 90.00
Each line ends with the local moment (μB).
Sites, in units of the cell vectors:
Ni (0.000, 0.000, 0.000)  0.45
As (0.500, 0.000, 0.000)  0.07
Co (0.000, 0.500, 0.000)  1.83
Co (0.000, 0.000, 0.500)  1.83
Ga (0.500, 0.500, 0.500)  0.01

Entry 2:
# CoGeAsSe2

Crystalline CoGeAsSe2 at its relaxed geometry (PBEsol, Alexandria).

Calculated total energy, eV/cell: -20.0
Symmetry: No. 123
Calculated volume, A^3/atom: 22.7

abc: 4.772 4.875 4.875
angles: 90.00 90.00 90.00
Each line ends with the local moment (μB).
Sites, in units of the cell vectors:
Se (0.000, 0.500, 0.000)  0.06
Se (0.000, 0.000, 0.500)  0.06
As (0.500, 0.000, 0.000)  0.00
Ge (0.000, 0.000, 0.000)  0.00
Co (0.500, 0.500, 0.500)  2.20

Entry 3:
# KCo2As2HO8

Crystalline KCo2As2HO8 at its relaxed geometry (PBEsol, Alexandria).

Calculated total energy, eV/cell: -354.3
Symmetry: No. 13
Calculated volume, A^3/atom: 12.1

abc: 4.961 8.574 15.997
angles: 96.27 90.00 90.00
Each line ends with the local moment (μB).
Sites, in units of the cell vectors:
H (0.513, 0.248, 0.753)  0.00
H (0.487, 0.752, 0.247)  0.00
H (0.487, 0.248, 0.253)  0.00
H (0.513, 0.752, 0.747)  0.00
O (0.098, 0.102, 0.580)  0.12
O (0.902, 0.898, 0.420)  0.12
O (0.061, 0.230, 0.917)  0.10
O (0.699, 0.705, 0.283)  0.03
O (0.939, 0.230, 0.417)  0.10
O (0.907, 0.429, 0.081)  0.12
O (0.098, 0.898, 0.920)  0.12
O (0.392, 0.266, 0.072)  0.11
O (0.426, 0.068, 0.429)  0.10
O (0.296, 0.795, 0.216)  0.02
O (0.608, 0.266, 0.572)  0.11
O (0.422, 0.405, 0.429)  0.09
O (0.574, 0.932, 0.571)  0.10
O (0.704, 0.205, 0.784)  0.02
O (0.093, 0.429, 0.581)  0.12
O (0.902, 0.102, 0.080)  0.12
O (0.392, 0.734, 0.428)  0.11
O (0.608, 0.734, 0.928)  0.11
O (0.422, 0.595, 0.071)  0.09
O (0.301, 0.295, 0.717)  0.03
O (0.093, 0.571, 0.919)  0.12
O (0.296, 0.205, 0.284)  0.02
O (0.699, 0.295, 0.217)  0.03
O (0.426, 0.932, 0.071)  0.10
O (0.907, 0.571, 0.419)  0.12
O (0.301, 0.705, 0.783)  0.03
O (0.061, 0.770, 0.583)  0.10
O (0.939, 0.770, 0.083)  0.10
O (0.578, 0.405, 0.929)  0.09
O (0.574, 0.068, 0.929)  0.10
O (0.704, 0.795, 0.716)  0.02
O (0.578, 0.595, 0.571)  0.09
As (0.718, 0.272, 0.110)  0.03
As (0.718, 0.728, 0.390)  0.03
As (0.279, 0.772, 0.107)  0.03
As (0.721, 0.772, 0.607)  0.03
As (0.282, 0.728, 0.890)  0.03
As (0.721, 0.228, 0.893)  0.03
As (0.282, 0.272, 0.610)  0.03
As (0.279, 0.228, 0.393)  0.03
Co (0.779, 0.084, 0.499)  2.55
Co (0.780, 0.415, 0.497)  2.54
Co (0.779, 0.916, 0.001)  2.55
Co (0.220, 0.585, 0.503)  2.54
Co (0.220, 0.415, 0.997)  2.54
Co (0.221, 0.084, 0.999)  2.55
Co (0.780, 0.585, 0.003)  2.54
Co (0.221, 0.916, 0.501)  2.55
K (0.128, 0.000, 0.750)  0.00
K (0.881, 0.500, 0.750)  0.00
K (0.872, 0.000, 0.250)  0.00
K (0.119, 0.500, 0.250)  0.00

Entry 4:
# CoAs2HO

Crystalline CoAs2HO at its relaxed geometry (PBEsol, Alexandria).

Calculated total energy, eV/cell: -24.5
Symmetry: No. 123
Calculated volume, A^3/atom: 11.2

abc: 2.901 4.385 4.385
angles: 90.00 90.00 90.00
Sites, in units of the cell vectors:
O (0.500, 0.500, 0.500)
H (0.000, 0.000, 0.000)
As (0.000, 0.000, 0.500)
As (0.000, 0.500, 0.000)
Co (0.500, 0.000, 0.000)